1.
Compound: CrBiPb3
Source: Alexandria via LeMat-Bulk
Functional: GGA-PBE
Structure: relaxed

Lattice parameters (Å, degrees): 5.313 5.313 5.313 90.00 90.00 90.00
Site moments in Bohr magnetons follow the coordinates.
Fractional positions:
Bi 0.500 0.500 0.500  0.42
Cr 0.000 0.000 0.000  2.38
Pb 0.500 0.000 0.000  -0.10
Pb 0.000 0.000 0.500  -0.03
Pb 0.000 0.500 0.000  -0.06

* magnetization: 0.568 μB per atom
* energy relative to the elements: 382 meV per atom
* volume: 150 Å³/cell

2.
Compound: Ti2CrBiPb
Source: Alexandria via LeMat-Bulk
Functional: GGA-PBE
Structure: relaxed

Lattice parameters (Å, degrees): 4.728 5.053 4.728 90.00 90.00 90.00
Fractional positions:
Ti 0.500 0.000 0.000
Bi 0.000 0.500 0.000
Cr 0.000 0.000 0.000
Ti 0.000 0.000 0.500
Pb 0.500 0.500 0.500

* magnetization: 0.000 μB per atom
* energy relative to the elements: 557 meV per atom
* volume: 113 Å³/cell

3.
Compound: CrBi2Pd2
Source: Alexandria via LeMat-Bulk
Functional: GGA-PBE
Structure: relaxed

Lattice parameters (Å, degrees): 7.105 7.105 4.106 90.00 90.00 90.00
Site moments in Bohr magnetons follow the coordinates.
Fractional positions:
Bi 0.674 0.826 0.500  -0.01
Bi 0.826 0.326 0.500  -0.01
Bi 0.326 0.174 0.500  -0.01
Cr 0.500 0.500 0.000  -0.11
Pd 0.864 0.636 0.000  0.00
Cr 0.000 0.000 0.000  -0.04
Pd 0.636 0.136 0.000  0.00
Pd 0.364 0.864 0.000  0.00
Pd 0.136 0.364 0.000  0.00
Bi 0.174 0.674 0.500  -0.01

* magnetization: 0.024 μB per atom
* energy relative to the elements: 357 meV per atom
* volume: 207 Å³/cell

4.
Compound: CrBiPd3
Source: Alexandria via LeMat-Bulk
Functional: GGA-PBE
Structure: relaxed

Lattice parameters (Å, degrees): 5.036 5.036 5.036 90.00 90.00 90.00
Site moments in Bohr magnetons follow the coordinates.
Fractional positions:
Cr 0.500 0.500 0.500  -4.12
Pd 0.500 0.000 0.000  -0.01
Pd 0.000 0.500 0.000  0.00
Pd 0.000 0.000 0.500  0.00
Bi 0.000 0.000 0.000  0.04

* energy above the most stable polymorph in this dataset: 214 meV per atom
* magnetization: 0.941 μB per atom
* energy relative to the elements: 859 meV per atom
* volume: 128 Å³/cell

5.
Compound: CrBi4Pd15
Source: Alexandria via LeMat-Bulk
Functional: GGA-PBE
Structure: relaxed

Lattice parameters (Å, degrees): 4.101 4.101 20.432 90.00 90.00 90.00
Site moments in Bohr magnetons follow the coordinates.
Fractional positions:
Pd 0.500 0.500 0.399  0.01
Pd 0.000 0.500 0.909  0.02
Pd 0.500 0.000 0.296  0.03
Bi 0.000 0.000 0.811  0.04
Pd 0.000 0.500 0.296  0.03
Pd 0.500 0.500 0.000  -0.02
Bi 0.000 0.000 0.397  0.01
Pd 0.500 0.000 0.500  0.01
Pd 0.000 0.500 0.704  0.03
Pd 0.500 0.500 0.803  0.06
Pd 0.000 0.500 0.091  0.02
Pd 0.500 0.500 0.197  0.06
Pd 0.500 0.000 0.091  0.02
Pd 0.500 0.000 0.704  0.03
Cr 0.000 0.000 0.000  3.31
Pd 0.500 0.000 0.909  0.02
Pd 0.000 0.500 0.500  0.01
Bi 0.000 0.000 0.603  0.01
Pd 0.500 0.500 0.601  0.01
Bi 0.000 0.000 0.189  0.04

* magnetization: 0.201 μB per atom
* energy relative to the elements: -205 meV per atom
* volume: 344 Å³/cell

6.
Compound: CrBiPd6
Source: Alexandria via LeMat-Bulk
Functional: GGA-PBE
Structure: relaxed

Lattice parameters (Å, degrees): 4.025 4.025 8.074 90.00 90.00 90.00
Site moments in Bohr magnetons follow the coordinates.
Fractional positions:
Pd 0.000 0.500 0.736  0.02
Cr 0.000 0.000 0.500  3.17
Bi 0.000 0.000 0.000  0.04
Pd 0.500 0.000 0.264  0.02
Pd 0.500 0.000 0.736  0.02
Pd 0.000 0.500 0.264  0.02
Pd 0.500 0.500 0.000  0.07
Pd 0.500 0.500 0.500  0.01

* magnetization: 0.453 μB per atom
* energy relative to the elements: -154 meV per atom
* volume: 131 Å³/cell

Q: Look up the magnetization of the fourth one.
A: 0.941 μB per atom

Q: Which formula does entry 5 have?
A: CrBi4Pd15

Q: Which value of volume does entry 1 give?
A: 150 Å³/cell

Q: What is the magnetization in the first record?
A: 0.568 μB per atom